Record 1
First-principles (SCAN) data for a PBEsol-optimized structure of Co2Si2Mo, as listed in Alexandria via LeMat-Bulk.

Its formation energy from raw total energies is -0.365 eV per atom. The calculation puts the density of states at the Fermi level at 0.703 states/eV/atom. Its total magnetization is 0.00 μB per cell.

The structure belongs to space group P4/mbm (No. 127); the cell edges are 6.709, 6.709 and 2.552 Å and the angles 90.00°, 90.00° and 90.00°. The distinct sites, in fractional coordinates, are Co at (0.149, 0.351, 0.000), Si at (0.147, 0.647, 0.500) and Mo at (0.000, 0.000, 0.500).

***

Record 2
First-principles (SCAN) data for a PBEsol-optimized structure of GeTe2BrN, as listed in Alexandria via LeMat-Bulk.

Its formation energy from raw total energies is 0.741 eV per atom. The calculation puts the density of states at the Fermi level at 0.758 states/eV/atom. Its total magnetization is 0.00 μB per cell.

The structure belongs to space group P4/mmm (No. 123); the cell edges are 5.756, 5.756 and 3.455 Å and the angles 90.00°, 90.00° and 90.00°. The distinct sites, in fractional coordinates, are Ge at (0.000, 0.000, 0.000), Te at (0.000, 0.500, 0.000), Br at (0.500, 0.500, 0.500) and N at (0.000, 0.000, 0.500).

***

Record 3
First-principles (SCAN) data for a PBEsol-optimized structure of SnP2AuCl, as listed in Alexandria via LeMat-Bulk.

Its formation energy from raw total energies is 0.982 eV per atom. The calculation puts the density of states at the Fermi level at 0.588 states/eV/atom. Its total magnetization is 1.58 μB per cell.

The structure belongs to space group P4/mmm (No. 123); the cell edges are 5.018, 5.018 and 4.889 Å and the angles 90.00°, 90.00° and 90.00°. The distinct sites, in fractional coordinates, are Sn at (0.000, 0.000, 0.000), P at (0.000, 0.500, 0.000), Au at (0.500, 0.500, 0.500) and Cl at (0.000, 0.000, 0.500).

***

Record 4
First-principles (SCAN) data for a PBEsol-optimized structure of LiInAg2, as listed in Alexandria via LeMat-Bulk.

For the calculated formation energy, the calculation gives -70 kJ/mol of formula units. The calculation puts the density of states at the Fermi level at 0.265 states/eV/atom. Its total magnetization is 0.00 μB per cell.

The structure belongs to space group P4/mmm (No. 123); the cell edges are 4.271, 4.271 and 3.776 Å and the angles 90.00°, 90.00° and 90.00°. The distinct sites, in fractional coordinates, are Li at (0.000, 0.000, 0.000), In at (0.500, 0.500, 0.000) and Ag at (0.000, 0.500, 0.500).

***

Record 5
First-principles (SCAN) data for a PBEsol-optimized structure of BaGe3Pd, as listed in Alexandria via LeMat-Bulk.

For the calculated formation energy, the calculation gives -306 kJ/mol of formula units. The calculation puts the density of states at the Fermi level at 0.362 states/eV/atom. Its total magnetization is 0.00 μB per cell.

The structure belongs to space group I4mm (No. 107); the cell edges are 4.541, 4.541 and 10.273 Å and the angles 90.00°, 90.00° and 90.00°. The distinct sites, in fractional coordinates, are Ba at (0.000, 0.000, 0.000), Ge at (0.000, 0.000, 0.398), Ge at (0.000, 0.500, 0.253) and Pd at (0.000, 0.000, 0.646).

***

Record 6
First-principles (SCAN) data for a PBEsol-optimized structure of CrReRh2, as listed in Alexandria via LeMat-Bulk.

For the calculated formation energy, the calculation gives -46 kJ/mol of formula units. The calculation puts the density of states at the Fermi level at 0.630 states/eV/atom. Its total magnetization is 1.35 μB per cell. Its relative energy among the computed polymorphs is 30 meV/atom.

The structure belongs to space group I4/mmm (No. 139); the cell edges are 3.722, 3.722 and 7.600 Å and the angles 90.00°, 90.00° and 90.00°. The distinct sites, in fractional coordinates, are Cr at (0.000, 0.000, 0.000), Re at (0.000, 0.000, 0.500) and Rh at (0.000, 0.500, 0.250).

***

Record 7
First-principles (SCAN) data for a PBEsol-optimized structure of MgRh3, as listed in Alexandria via LeMat-Bulk.

For the calculated formation energy, the calculation gives -85 kJ/mol of formula units. The calculation puts the density of states at the Fermi level at 1.166 states/eV/atom. Its total magnetization is 0.00 μB per cell.

The structure belongs to space group Cmcm (No. 63); the cell edges are 5.460, 9.332 and 4.418 Å and the angles 90.00°, 90.00° and 90.00°. The distinct sites, in fractional coordinates, are Mg at (0.000, 0.088, 0.250), Rh at (0.000, 0.417, 0.750) and Rh at (0.243, 0.334, 0.250).

***

Record 8
First-principles (SCAN) data for a PBEsol-optimized structure of GeSbTe2H, as listed in Alexandria via LeMat-Bulk.

The total energy is -26.3233 eV per atom. The calculation puts the density of states at the Fermi level at 0.619 states/eV/atom. Its total magnetization is 0.00 μB per cell.

The structure belongs to space group P4/mmm (No. 123); the cell edges are 5.231, 5.231 and 3.907 Å and the angles 90.00°, 90.00° and 90.00°. The distinct sites, in fractional coordinates, are Ge at (0.000, 0.000, 0.000), Sb at (0.500, 0.500, 0.000), Te at (0.000, 0.500, 0.500) and H at (0.500, 0.500, 0.500).

***

Record 9
First-principles (SCAN) data for a PBEsol-optimized structure of Rb5C3, as listed in Alexandria via LeMat-Bulk.

For the calculated formation energy, the calculation gives 1182 kJ/mol of formula units. The calculation puts the density of states at the Fermi level at 0.416 states/eV/atom. Its total magnetization is 7.21 μB per cell.

The structure belongs to space group P4/mmm (No. 123); the cell edges are 3.877, 3.877 and 19.283 Å and the angles 90.00°, 90.00° and 90.00°. The distinct sites, in fractional coordinates, are Rb at (0.000, 0.000, 0.000), Rb at (0.000, 0.000, 0.180), Rb at (0.500, 0.500, 0.415), C at (0.000, 0.000, 0.500) and C at (0.500, 0.500, 0.107).

***

Record 10
First-principles (SCAN) data for a PBEsol-optimized structure of KAgF2, as listed in Alexandria via LeMat-Bulk.

Its formation energy from raw total energies is -1.949 eV per atom. The calculation puts the density of states at the Fermi level at 0.000 states/eV/atom. Its total magnetization is 0.00 μB per cell. Its relative energy among the computed polymorphs is 0 meV/atom.

The structure belongs to space group R-3m (No. 166, hexagonal axes); the cell edges are 3.7669, 3.7669 and 20.4894 Å and the angles 90.00°, 90.00° and 120.00°. The distinct sites, in fractional coordinates, are K at (0.0000, 0.0000, 0.0000), Ag at (0.0000, 0.0000, 0.5000) and F at (0.0000, 0.0000, 0.4015).

***

Record 11
First-principles (SCAN) data for a PBEsol-optimized structure of Tc2SbAs, as listed in Alexandria via LeMat-Bulk.

Its formation energy from raw total energies is 0.070 eV per atom. The calculation puts the density of states at the Fermi level at 0.719 states/eV/atom. Its total magnetization is 0.00 μB per cell. Its relative energy among the computed polymorphs is 81 meV/atom.

The structure belongs to space group Fm-3m (No. 225); the cell edges are 6.272, 6.272 and 6.272 Å and the angles 90.00°, 90.00° and 90.00°. The distinct sites, in fractional coordinates, are Tc at (0.250, 0.250, 0.250), Sb at (0.000, 0.000, 0.000) and As at (0.000, 0.000, 0.500).

***

Record 12
First-principles (SCAN) data for a PBEsol-optimized structure of Li2TcW, as listed in Alexandria via LeMat-Bulk.

For the calculated formation energy, the calculation gives 123 kJ/mol of formula units. The calculation puts the density of states at the Fermi level at 0.663 states/eV/atom. Its total magnetization is 0.00 μB per cell. Its relative energy among the computed polymorphs is 45 meV/atom.

The structure belongs to space group P4mm (No. 99); the cell edges are 3.102, 3.102 and 6.325 Å and the angles 90.00°, 90.00° and 90.00°. The distinct sites, in fractional coordinates, are Li at (0.000, 0.000, 0.000), Li at (0.500, 0.500, 0.252), Tc at (0.000, 0.000, 0.523) and W at (0.500, 0.500, 0.718).